[1]
Crystalline K3NpN3 at its relaxed geometry, computed with GGA-PBE.

```
K3NpN3
1.0
-1.869 1.829 2.550
-6.707 -2.531 -2.788
1.482 -9.518 8.088
K Np N
6 2 6
Direct
0.249 0.373 0.396 K
0.751 0.627 0.604 K
0.260 0.913 0.828 K
0.740 0.087 0.172 K
0.240 0.353 0.829 K
0.760 0.647 0.171 K
0.252 0.876 0.403 Np
0.748 0.124 0.597 Np
0.281 0.288 0.601 N
0.719 0.712 0.399 N
0.241 0.922 0.566 N
0.759 0.078 0.434 N
0.245 0.885 0.254 N
0.755 0.115 0.746 N
```

- Raw formation energy: -2.9 eV/f.u.
- Crystal system: triclinic
- Space-group type: P-1, No. 2

[2]
Crystalline Sn2H2W at its relaxed geometry, computed with GGA-PBE.

```
Sn2H2W
1.0
-1.352 1.174 -4.660
-4.793 -0.688 1.217
-3.290 3.182 -0.918
H Sn W
2 2 1
Direct
0.435 0.435 0.130 H
0.565 0.565 0.870 H
0.750 0.250 0.500 Sn
0.250 0.750 0.500 Sn
0.000 0.000 0.000 W
```

- Crystal system: tetragonal
- Polymorph energy (0 for the lowest one): 0.000 eV/atom
- Space-group type: I4/mmm, No. 139

[3]
Crystalline Ac2YVS6 at its relaxed geometry, computed with GGA-PBE.

```
Ac2YVS6
1.0
7.175 0.000 0.000
0.000 6.888 0.000
0.000 0.000 10.034
Ac Y V S
4 2 2 12
Direct
0.500 0.790 0.204 Ac
0.000 0.210 0.704 Ac
0.500 0.790 0.796 Ac
0.000 0.210 0.296 Ac
0.500 0.242 0.500 Y
0.000 0.758 0.000 Y
0.000 0.730 0.500 V
0.500 0.270 0.000 V
0.500 0.235 0.237 S
0.500 0.235 0.763 S
0.000 0.765 0.263 S
0.000 0.765 0.737 S
0.239 0.973 0.500 S
0.761 0.973 0.500 S
0.217 0.474 0.500 S
0.783 0.474 0.500 S
0.717 0.526 0.000 S
0.283 0.526 0.000 S
0.261 0.027 0.000 S
0.739 0.027 0.000 S
```

- Raw formation energy: -16.4 eV/f.u.
- Crystal system: orthorhombic
- Space-group type: Pmmn, No. 59

[4]
Crystalline Ce4As2PN at its relaxed geometry, computed with GGA-PBE.

```
Ce4As2PN
1.0
4.064 0.000 0.000
-2.032 6.637 0.000
0.000 0.000 14.702
Ce As P N
8 4 2 2
Direct
0.279 0.558 0.133 Ce
0.721 0.442 0.633 Ce
0.721 0.442 0.867 Ce
0.279 0.558 0.367 Ce
0.000 0.000 0.500 Ce
0.000 0.000 0.000 Ce
0.428 0.857 0.750 Ce
0.572 0.143 0.250 Ce
0.358 0.717 0.559 As
0.642 0.283 0.059 As
0.642 0.283 0.441 As
0.358 0.717 0.941 As
0.100 0.200 0.750 P
0.900 0.800 0.250 P
0.829 0.658 0.750 N
0.171 0.342 0.250 N
```

- Raw formation energy: -10.1 eV/f.u.
- Crystal system: orthorhombic
- Space-group type: Cmcm, No. 63

[5]
Crystalline NdYHo2Tm5 at its relaxed geometry, computed with GGA-PBE.

```
NdYHo2Tm5
1.0
-7.339 -4.843 -1.474
0.513 -3.294 8.269
-0.667 9.514 -0.975
Nd Y Ho Tm
2 2 4 10
Direct
0.250 0.250 0.500 Nd
0.750 0.750 0.500 Nd
0.250 0.750 0.500 Y
0.750 0.250 0.500 Y
0.112 0.388 0.000 Ho
0.612 0.112 0.000 Ho
0.388 0.888 0.000 Ho
0.888 0.612 0.000 Ho
0.925 0.425 0.261 Tm
0.664 0.164 0.739 Tm
0.075 0.575 0.739 Tm
0.164 0.075 0.739 Tm
0.575 0.664 0.739 Tm
0.836 0.925 0.261 Tm
0.425 0.336 0.261 Tm
0.336 0.836 0.261 Tm
0.500 0.500 0.000 Tm
0.000 0.000 0.000 Tm
```

- Crystal system: tetragonal
- E_form: 292 meV/atom
- Space-group type: I4/mcm, No. 140

[6]
Crystalline CdFeS2 at its relaxed geometry, computed with GGA-PBE.

```
CdFeS2
1.0
3.959 0.000 0.000
-1.980 3.429 0.000
0.000 0.000 6.622
Cd Fe S
1 1 2
Direct
0.000 0.000 0.511 Cd
0.667 0.333 0.998 Fe
0.000 0.000 0.895 S
0.667 0.333 0.346 S
```

- Raw formation energy: -1.3 eV/f.u.
- Crystal system: trigonal
- Space-group type: P3m1, No. 156

[7]
Crystalline CsTl6O8 at its relaxed geometry, computed with GGA-PBE.

```
CsTl6O8
1.0
-1.036 -0.464 -3.536
6.965 -6.756 -1.155
-8.929 -2.644 2.964
Cs Tl O
1 6 8
Direct
0.500 0.000 0.000 Cs
0.757 0.581 0.731 Tl
0.757 0.269 0.850 Tl
0.757 0.150 0.419 Tl
0.243 0.419 0.269 Tl
0.243 0.731 0.150 Tl
0.243 0.850 0.581 Tl
0.741 0.693 0.004 O
0.741 0.996 0.688 O
0.741 0.312 0.307 O
0.259 0.307 0.996 O
0.259 0.004 0.312 O
0.259 0.688 0.693 O
0.115 0.667 0.333 O
0.885 0.333 0.667 O
```

- Raw formation energy: -9.9 eV/f.u.
- Crystal system: trigonal
- Polymorph energy (0 for the lowest one): 0.000 eV/atom
- Space-group type: P-3, No. 147

[8]
Crystalline LaCeDy2In4 at its relaxed geometry, computed with GGA-PBE.

```
LaCeDy2In4
1.0
5.425 0.000 0.000
2.712 4.698 0.000
2.712 1.566 8.875
La Ce Dy In
1 1 2 4
Direct
0.000 0.000 0.000 La
0.500 0.500 0.500 Ce
0.750 0.750 0.750 Dy
0.250 0.250 0.250 Dy
0.376 0.376 0.872 In
0.874 0.874 0.378 In
0.126 0.126 0.622 In
0.624 0.624 0.128 In
```

- Crystal system: trigonal
- E_form: -445 meV/atom
- Space-group type: R-3m, No. 166

[9]
Crystalline La3Dy8 at its relaxed geometry, computed with GGA-PBE.

```
La3Dy8
1.0
5.090 0.000 0.000
-2.545 5.552 -1.240
0.000 -0.620 13.019
La Dy
3 8
Direct
0.000 0.000 0.000 La
0.909 0.817 0.362 La
0.091 0.183 0.638 La
0.727 0.454 0.091 Dy
0.273 0.546 0.909 Dy
0.546 0.091 0.819 Dy
0.454 0.909 0.181 Dy
0.819 0.638 0.727 Dy
0.181 0.362 0.273 Dy
0.637 0.275 0.455 Dy
0.363 0.725 0.545 Dy
```

- Crystal system: monoclinic
- Polymorph energy (0 for the lowest one): 0.000 eV/atom
- E_form: 33 meV/atom
- Space-group type: C2/m, No. 12

[10]
Crystalline NdDy2Ir2 at its relaxed geometry, computed with GGA-PBE.

```
NdDy2Ir2
1.0
4.447 0.000 0.000
0.000 5.500 0.699
0.000 0.010 10.526
Nd Dy Ir
2 4 4
Direct
0.250 0.563 0.215 Nd
0.750 0.437 0.785 Nd
0.250 0.879 0.889 Dy
0.750 0.121 0.111 Dy
0.250 0.231 0.530 Dy
0.750 0.769 0.470 Dy
0.250 0.702 0.635 Ir
0.750 0.298 0.365 Ir
0.250 0.343 0.968 Ir
0.750 0.657 0.032 Ir
```

- Crystal system: monoclinic
- E_form: -695 meV/atom
- Space-group type: P2_1/m, No. 11

[11]
Crystalline ZnInI3 at its relaxed geometry, computed with GGA-PBE.

```
ZnInI3
1.0
8.464 0.000 -0.036
0.000 8.665 0.000
-0.537 0.000 11.537
Zn In I
4 4 12
Direct
0.357 0.649 0.098 Zn
0.143 0.149 0.402 Zn
0.643 0.351 0.902 Zn
0.857 0.851 0.598 Zn
0.941 0.627 0.283 In
0.559 0.127 0.217 In
0.059 0.373 0.717 In
0.441 0.873 0.783 In
0.123 0.719 0.562 I
0.377 0.219 0.938 I
0.877 0.281 0.438 I
0.623 0.781 0.062 I
0.834 0.026 0.774 I
0.666 0.526 0.726 I
0.166 0.974 0.226 I
0.334 0.474 0.274 I
0.645 0.809 0.437 I
0.855 0.309 0.063 I
0.355 0.191 0.563 I
0.145 0.691 0.937 I
```

- Raw formation energy: -2.5 eV/f.u.
- Crystal system: monoclinic
- Polymorph energy (0 for the lowest one): 0.028 eV/atom
- Space-group type: P2_1/c, No. 14

Magnetization for every record listed, in sequence, given in μB/atom: 0.015 0.260 0.200 0.399 0.000 1.000 0.000 0.117 0.000 0.000 0.000.
Fermi-level density of states for every record listed, in sequence, given in states/eV/f.u.: 2.13 3.15 4.60 19.30 11.29 4.28 2.72 9.37 17.84 2.67 0.00.